(1)
# PBE CeAgBiRh, relaxed
data_CeAgBiRh
_chemical_formula_sum 'Ce4 Ag4 Bi4 Rh4'
_symmetry_space_group_name_H-M 'F -4 3 m'
_symmetry_Int_Tables_number 216
_symmetry_space_group_name_Hall 'F -4 2 3'
_cell_length_a 7.0619
_cell_length_b 7.0619
_cell_length_c 7.0619
_cell_angle_alpha 90.00
_cell_angle_beta 90.00
_cell_angle_gamma 90.00
loop_
_atom_site_label
_atom_site_fract_x
_atom_site_fract_y
_atom_site_fract_z
Ce1 0.0000 0.0000 0.0000
Ag1 0.2500 0.2500 0.7500
Bi1 0.0000 0.0000 0.5000
Rh1 0.2500 0.2500 0.2500
# **Calculated density**: 10.559 g/cm³
# **N(E_F)**: 1.145 states/eV per atom
# **Formation enthalpy at 0 K**: -0.344 eV per atom

(2)
# PBE CeAgBiS4, relaxed
data_CeAgBiS4
_chemical_formula_sum 'Ce4 Ag4 Bi4 S16'
_symmetry_space_group_name_H-M 'I m m a'
_symmetry_Int_Tables_number 74
_symmetry_space_group_name_Hall '-I 2b 2'
_cell_length_a 7.9841
_cell_length_b 8.2171
_cell_length_c 11.4223
_cell_angle_alpha 90.00
_cell_angle_beta 90.00
_cell_angle_gamma 90.00
loop_
_atom_site_label
_atom_site_fract_x
_atom_site_fract_y
_atom_site_fract_z
Ce1 0.0000 0.0000 0.0000
Ag1 0.0000 0.2500 0.3744
Bi1 0.2500 0.2500 0.7500
S1 0.0000 0.0058 0.7616
S2 0.2305 0.2500 0.9974
# **Calculated density**: 5.187 g/cm³
# **E_form (uncorrected)**: -0.904 eV/atom

(3)
# PBE CeScAgBi, relaxed
data_CeScAgBi
_chemical_formula_sum 'Ce4 Sc4 Ag4 Bi4'
_symmetry_space_group_name_H-M 'F -4 3 m'
_symmetry_Int_Tables_number 216
_symmetry_space_group_name_Hall 'F -4 2 3'
_cell_length_a 7.4450
_cell_length_b 7.4450
_cell_length_c 7.4450
_cell_angle_alpha 90.00
_cell_angle_beta 90.00
_cell_angle_gamma 90.00
loop_
_atom_site_label
_atom_site_fract_x
_atom_site_fract_y
_atom_site_fract_z
Ce1 0.0000 0.0000 0.0000
Sc1 0.0000 0.0000 0.5000
Ag1 0.2500 0.2500 0.7500
Bi1 0.2500 0.2500 0.2500
# **Calculated density**: 8.079 g/cm³
# **N(E_F)**: 2.399 states/eV per atom
# **Formation enthalpy at 0 K**: -0.329 eV per atom

(4)
# PBE CeSmAgBi, relaxed
data_CeSmAgBi
_chemical_formula_sum 'Ce4 Sm4 Ag4 Bi4'
_symmetry_space_group_name_H-M 'F -4 3 m'
_symmetry_Int_Tables_number 216
_symmetry_space_group_name_Hall 'F -4 2 3'
_cell_length_a 7.6843
_cell_length_b 7.6843
_cell_length_c 7.6843
_cell_angle_alpha 90.00
_cell_angle_beta 90.00
_cell_angle_gamma 90.00
loop_
_atom_site_label
_atom_site_fract_x
_atom_site_fract_y
_atom_site_fract_z
Ce1 0.0000 0.0000 0.0000
Sm1 0.0000 0.0000 0.5000
Ag1 0.2500 0.2500 0.2500
Bi1 0.2500 0.2500 0.7500
# **Calculated density**: 8.890 g/cm³
# **N(E_F)**: 2.643 states/eV per atom
# **Formation enthalpy at 0 K**: -0.404 eV per atom

(5)
# PBE SrCeAgBi, relaxed
data_SrCeAgBi
_chemical_formula_sum 'Sr4 Ce4 Ag4 Bi4'
_symmetry_space_group_name_H-M 'F -4 3 m'
_symmetry_Int_Tables_number 216
_symmetry_space_group_name_Hall 'F -4 2 3'
_cell_length_a 7.9012
_cell_length_b 7.9012
_cell_length_c 7.9012
_cell_angle_alpha 90.00
_cell_angle_beta 90.00
_cell_angle_gamma 90.00
loop_
_atom_site_label
_atom_site_fract_x
_atom_site_fract_y
_atom_site_fract_z
Sr1 0.0000 0.0000 0.0000
Ce1 0.0000 0.0000 0.5000
Ag1 0.2500 0.2500 0.2500
Bi1 0.2500 0.2500 0.7500
# **Calculated density**: 7.333 g/cm³
# **N(E_F)**: 2.713 states/eV per atom
# **Formation enthalpy at 0 K**: -0.408 eV per atom

(6)
# PBE TbCeAgBi, relaxed
data_TbCeAgBi
_chemical_formula_sum 'Tb4 Ce4 Ag4 Bi4'
_symmetry_space_group_name_H-M 'F -4 3 m'
_symmetry_Int_Tables_number 216
_symmetry_space_group_name_Hall 'F -4 2 3'
_cell_length_a 7.6266
_cell_length_b 7.6266
_cell_length_c 7.6266
_cell_angle_alpha 90.00
_cell_angle_beta 90.00
_cell_angle_gamma 90.00
loop_
_atom_site_label
_atom_site_fract_x
_atom_site_fract_y
_atom_site_fract_z
Tb1 0.0000 0.0000 0.0000
Ce1 0.0000 0.0000 0.5000
Ag1 0.2500 0.2500 0.2500
Bi1 0.2500 0.2500 0.7500
# **Calculated density**: 9.222 g/cm³
# **N(E_F)**: 2.604 states/eV per atom
# **Formation enthalpy at 0 K**: -0.387 eV per atom

(7)
# PBE CeYAgBi, relaxed
data_CeYAgBi
_chemical_formula_sum 'Ce4 Y4 Ag4 Bi4'
_symmetry_space_group_name_H-M 'F -4 3 m'
_symmetry_Int_Tables_number 216
_symmetry_space_group_name_Hall 'F -4 2 3'
_cell_length_a 7.6210
_cell_length_b 7.6210
_cell_length_c 7.6210
_cell_angle_alpha 90.00
_cell_angle_beta 90.00
_cell_angle_gamma 90.00
loop_
_atom_site_label
_atom_site_fract_x
_atom_site_fract_y
_atom_site_fract_z
Ce1 0.0000 0.0000 0.0000
Y1 0.0000 0.0000 0.5000
Ag1 0.2500 0.2500 0.7500
Bi1 0.2500 0.2500 0.2500
# **Calculated density**: 8.191 g/cm³
# **N(E_F)**: 2.546 states/eV per atom
# **Formation enthalpy at 0 K**: -0.397 eV per atom

(8)
# PBE Ag2Bi2Cl, relaxed
data_Ag2Bi2Cl
_chemical_formula_sum 'Ag4 Bi4 Cl2'
_symmetry_space_group_name_H-M 'P 4/m b m'
_symmetry_Int_Tables_number 127
_symmetry_space_group_name_Hall '-P 4 2ab'
_cell_length_a 8.6118
_cell_length_b 8.6118
_cell_length_c 3.4221
_cell_angle_alpha 90.00
_cell_angle_beta 90.00
_cell_angle_gamma 90.00
loop_
_atom_site_label
_atom_site_fract_x
_atom_site_fract_y
_atom_site_fract_z
Ag1 0.1575 0.3425 0.0000
Bi1 0.1386 0.6386 0.5000
Cl1 0.0000 0.0000 0.0000
# **Energy above the most stable polymorph in this dataset**: 0.042 eV/atom
# **Calculated density**: 8.756 g/cm³
# **N(E_F)**: 0.564 states/eV per atom
# **E_form (uncorrected)**: 0.040 eV/atom